A relaxed structure of La2VGaF, computed with PBE with a Hubbard U.

The space group is P4/mmm (No. 123) and the conventional cell measures 5.843, 5.843 and 4.782 Å, with angles of 90.00, 90.00 and 90.00 degrees. The asymmetric unit holds La at (0.000, 0.500, 0.000), V at (0.000, 0.000, 0.500), Ga at (0.000, 0.000, 0.000) and F at (0.500, 0.500, 0.500).

As for the density: 4.25 Mg/m³. As for the crystal system: tetragonal. For the magnetic moment, the calculation gives 4.63 μB/cell. The calculation puts the total energy at -4.437 eV per atom.